VASP calculation (GGA-PBE) on a relaxed structure of TbTiZnRh.

Energy relative to the elements, eV/f.u.: -1.44
Final energy, eV per atom: -5.6487
SG: F-43m (216)

Cell: 6.6639 6.6639 6.6639 Å, 90.00 90.00 90.00°
Fractional coordinates of all 16 atoms:
1 Tb 0.0000 0.0000 0.0000
2 Tb 0.0000 0.5000 0.5000
3 Tb 0.5000 0.0000 0.5000
4 Tb 0.5000 0.5000 0.0000
5 Ti 0.0000 0.0000 0.5000
6 Ti 0.0000 0.5000 0.0000
7 Ti 0.5000 0.0000 0.0000
8 Ti 0.5000 0.5000 0.5000
9 Zn 0.2500 0.2500 0.7500
10 Zn 0.2500 0.7500 0.2500
11 Zn 0.7500 0.2500 0.2500
12 Zn 0.7500 0.7500 0.7500
13 Rh 0.2500 0.2500 0.2500
14 Rh 0.2500 0.7500 0.7500
15 Rh 0.7500 0.2500 0.7500
16 Rh 0.7500 0.7500 0.2500